V4RhW2 | PBE | relaxed

Calculated values
- N(E_F) (states/eV per cell) = 14.3
- energy relative to the elements (eV per atom) = 0.112

Unit cell a=2.970 b=23.000 c=2.999 alpha=90.00 beta=90.00 gamma=90.00
Space group Cmmm (No. 65)
Symmetry-distinct sites (fractional):
V (0.000, 0.070, 0.000) (multiplicity 4)
V (0.000, 0.368, 0.500) (multiplicity 4)
Rh (0.000, 0.500, 0.500) (multiplicity 2)
W (0.000, 0.202, 0.000) (multiplicity 4)